Run 1
The following is a PBE calculation of a geometry-optimized CeTiSi2 structure, from the Alexandria database.

POSCAR file:
```
CeTiSi2
1.0
3.7244 0.0000 0.0000
0.0000 3.1221 0.0000
0.0000 0.0000 6.2775
Ce Si Ti
1 2 1
Cartesian
1.8622 1.5611 4.7081 Ce
0.0000 0.0000 0.3574 Si
0.0000 0.0000 2.7813 Si
1.8622 1.5611 1.5694 Ti
```

## Properties
Magnetization, μB/atom: 0.26
SG: Pmmm, No. 47
DOS(E_F), states/eV/cell: 5.848
Theoretical density, g cm⁻³: 5.55

***

Run 2
The following is a PBE calculation of a geometry-optimized CeTiSi2 structure, from the Alexandria database.

POSCAR file:
```
CeTiSi2
1.0
-2.3698 -1.8641 -0.5135
-1.1145 -1.7180 2.2718
-6.8361 5.4111 2.7973
Si Ti Ce
2 1 1
Cartesian
-7.9050 1.5634 3.4808 Si
-2.4154 0.2655 1.0747 Si
0.0000 0.0000 0.0000 Ti
-5.1602 0.9145 2.2778 Ce
```

## Properties
Magnetization, μB/atom: 0.00
SG: R-3m, No. 166
DOS(E_F), states/eV/cell: 3.139
Theoretical density, g cm⁻³: 5.57

***

In terms of stability, run 1 leads; the second structure lies 0.288 eV/atom higher.

***

Run 1
The following is a PBE calculation of a geometry-optimized Ce2TiSi structure, from the Alexandria database.

POSCAR file:
```
Ce2TiSi
1.0
5.0505 0.0000 0.0000
2.5252 4.3739 0.0000
2.5252 1.4580 4.1251
Ce Si Ti
2 1 1
Cartesian
2.5252 1.4580 1.0311 Ce
7.5757 4.3738 3.0940 Ce
5.0505 2.9159 2.0626 Si
0.0000 0.0000 0.0000 Ti
```

## Properties
Magnetization, μB/atom: 0.51
SG: Fm-3m, No. 225
DOS(E_F), states/eV/cell: 8.009
Theoretical density, g cm⁻³: 6.49

***

Run 2
The following is a PBE calculation of a geometry-optimized Ce2TiSi structure, from the Alexandria database.

POSCAR file:
```
Ce2TiSi
1.0
-3.3746 0.6518 3.0538
-0.2877 -4.1743 0.5730
2.8538 0.2295 3.1046
Ti Ce Si
1 2 1
Cartesian
-0.4042 -1.6465 3.3657 Ti
-0.1439 -2.0871 0.2865 Ce
1.4269 0.1147 1.5523 Ce
-1.6873 0.3259 1.5269 Si
```

## Properties
Magnetization, μB/atom: 0.00
SG: P4/mmm, No. 123
DOS(E_F), states/eV/cell: 6.619
Theoretical density, g cm⁻³: 7.21

***

In terms of stability, run 2 leads; the second structure lies 0.258 eV/atom higher.

***

Run 1
The following is a PBE calculation of a geometry-optimized Ce5TlSi2 structure, from the Alexandria database.

POSCAR file:
```
Ce5TlSi2
1.0
-7.6912 -0.1963 1.0279
-1.0448 1.8740 -7.4596
4.3130 -7.8015 1.4744
Si Ce Tl
4 10 2
Cartesian
-3.8554 1.5770 -6.1836 Si
-7.4261 0.9859 -3.7075 Si
-4.8806 0.1006 -0.2481 Si
-1.3099 0.6917 -2.7242 Si
2.2946 -4.6346 -2.8829 Ce
-2.7112 -1.6798 -1.4395 Ce
0.0000 0.0000 0.0000 Ce
-6.7177 -1.4893 -2.0744 Ce
-6.0555 -0.5221 -5.9625 Ce
-2.0490 -0.7126 -5.3276 Ce
-4.3680 0.8388 -3.2159 Ce
-1.7119 -4.4441 -3.5178 Ce
1.6325 -5.6018 1.0053 Ce
-2.3740 -5.4113 0.3703 Ce
-0.0275 -3.4814 -0.8707 Tl
-4.3955 -2.6425 -4.0866 Tl
```

## Properties
Magnetization, μB/atom: 0.78
SG: I4/mcm, No. 140
DOS(E_F), states/eV/cell: 42.827
Theoretical density, g cm⁻³: 7.38

***

Run 2
The following is a PBE calculation of a geometry-optimized Ce5TlSi2 structure, from the Alexandria database.

POSCAR file:
```
Ce5TlSi2
1.0
-1.2215 -4.2920 2.6798
4.7503 0.2112 -2.5518
7.1674 6.6334 13.8915
Tl Ce Si
2 10 4
Cartesian
5.4132 -0.0343 2.4127 Tl
5.2830 2.5869 11.6068 Tl
3.3547 -1.5036 4.1764 Ce
6.6265 3.7729 14.1188 Ce
4.0219 1.3623 9.0706 Ce
9.2422 2.2541 12.8786 Ce
4.0696 -1.2203 -0.0993 Ce
7.3415 4.0562 9.8430 Ce
6.6742 1.1903 4.9488 Ce
7.0628 0.2372 8.6547 Ce
3.6333 2.3155 5.3647 Ce
1.4540 0.2985 1.1408 Ce
2.1126 -2.6889 1.7118 Si
8.5836 5.2415 12.3076 Si
6.0481 2.8949 7.3935 Si
4.6481 -0.3423 6.6260 Si
```

## Properties
Magnetization, μB/atom: 0.40
SG: Cmcm, No. 63
DOS(E_F), states/eV/cell: 44.181
Theoretical density, g cm⁻³: 7.64

***

In terms of stability, run 1 leads; the second structure lies 0.079 eV/atom higher.

***

Run 1
The following is a PBE calculation of a geometry-optimized Ce2TmSi structure, from the Alexandria database.

POSCAR file:
```
Ce2TmSi
1.0
-1.7467 -2.5089 2.3595
-1.9523 -1.4583 -2.9958
5.1378 -4.6135 -1.1023
Tm Ce Si
1 2 1
Cartesian
-1.8495 -1.9836 -0.3181 Tm
1.5764 -1.4156 -0.3382 Ce
3.5614 -3.1980 -0.7641 Ce
0.7195 -4.2904 -0.8693 Si
```

## Properties
Magnetization, μB/atom: 0.00
SG: P4/mmm, No. 123
DOS(E_F), states/eV/cell: 8.212
Theoretical density, g cm⁻³: 7.60

***

Run 2
The following is a PBE calculation of a geometry-optimized Ce2TmSi structure, from the Alexandria database.

POSCAR file:
```
Ce2TmSi
1.0
-2.6083 -1.0639 -1.5464
-0.0542 -2.9823 -1.1956
-5.0534 -5.1342 8.7172
Ce Tm Si
2 1 1
Cartesian
-3.8481 -5.1236 -0.0009 Ce
-3.8678 -4.0568 5.9761 Ce
0.0000 0.0000 0.0000 Tm
-3.8579 -4.5902 2.9876 Si
```

## Properties
Magnetization, μB/atom: 0.00
SG: R-3m, No. 166
DOS(E_F), states/eV/cell: 9.106
Theoretical density, g cm⁻³: 7.94

***

In terms of stability, run 1 leads; the second structure lies 0.369 eV/atom higher.

***

Run 1
The following is a PBE calculation of a geometry-optimized Ce2USi structure, from the Alexandria database.

POSCAR file:
```
Ce2USi
1.0
-3.3480 -2.8320 0.6299
1.1972 -0.4579 4.3048
-2.6868 3.4235 1.1114
Ce U Si
2 1 1
Cartesian
0.5986 -0.2290 2.1524 Ce
-1.3434 1.7118 0.5557 Ce
-2.4188 0.0668 3.0231 U
-1.6740 -1.4160 0.3149 Si
```

## Properties
Magnetization, μB/atom: 0.84
SG: P4/mmm, No. 123
DOS(E_F), states/eV/cell: 10.497
Theoretical density, g cm⁻³: 10.15

***

Run 2
The following is a PBE calculation of a geometry-optimized Ce2USi structure, from the Alexandria database.

POSCAR file:
```
Ce2USi
1.0
-2.8421 0.8916 0.2353
-1.6672 0.3403 -2.4561
-4.6885 -9.9352 -0.0114
Ce Si U
2 1 1
Cartesian
-3.8435 -7.1905 -0.2047 Ce
-5.3543 -1.5128 -2.0274 Ce
-4.5989 -4.3516 -1.1161 Si
0.0000 0.0000 0.0000 U
```

## Properties
Magnetization, μB/atom: 0.00
SG: R-3m, No. 166
DOS(E_F), states/eV/cell: 7.267
Theoretical density, g cm⁻³: 10.82

***

In terms of stability, run 1 leads; the second structure lies 0.252 eV/atom higher.

***

Run 1
The following is a PBE calculation of a geometry-optimized CeYSi2 structure, from the Alexandria database.

POSCAR file:
```
CeYSi2
1.0
-3.8785 -1.7073 1.0370
1.5716 -3.5409 0.0483
3.0741 1.4281 4.6717
Si Ce Y
2 1 1
Cartesian
2.7993 -0.8202 4.1724 Si
1.6777 0.7803 2.6138 Si
0.3727 -1.9205 2.4635 Ce
0.2225 0.1716 5.3436 Y
```

## Properties
Magnetization, μB/atom: 0.16
SG: Amm2, No. 38
DOS(E_F), states/eV/cell: 6.534
Theoretical density, g cm⁻³: 5.24

***

Run 2
The following is a PBE calculation of a geometry-optimized CeYSi2 structure, from the Alexandria database.

POSCAR file:
```
CeYSi2
1.0
4.2081 0.0000 0.0000
2.1040 3.6443 0.0000
2.1040 1.2148 6.6083
Si Ce Y
2 1 1
Cartesian
2.1040 1.2148 1.6793 Si
6.3121 3.6443 4.9290 Si
4.2081 2.4295 3.3041 Ce
0.0000 0.0000 0.0000 Y
```

## Properties
Magnetization, μB/atom: 0.00
SG: R-3m, No. 166
DOS(E_F), states/eV/cell: 5.658
Theoretical density, g cm⁻³: 4.67

***

In terms of stability, run 1 leads; the second structure lies 0.265 eV/atom higher.